The following is a DFT calculation (PBE-GGA) of crystalline Ba5NaSr4 at its relaxed geometry.

Output
Relative energy among the computed polymorphs = 0 kJ/mol of formula units
DOS(E_F) = 13.60 states/eV/cell
Formation enthalpy at 0 K = 0.008 eV/atom
Symmetry = No. 123

Lattice parameters (Å, degrees): 4.863 4.863 24.379 90.00 90.00 90.00
Atoms (fractional coordinates):
Sr1 0.000 0.000 0.198
Sr2 0.000 0.000 0.802
Sr3 0.000 0.000 0.602
Sr4 0.000 0.000 0.398
Na1 0.000 0.000 0.000
Ba1 0.500 0.500 0.908
Ba2 0.500 0.500 0.703
Ba3 0.500 0.500 0.297
Ba4 0.500 0.500 0.500
Ba5 0.500 0.500 0.092